1.
Density functional theory data (GGA-PBE) for a relaxed K2PdPbBr6 crystal.

Summary:
- Fermi-level density of states: 0.08 states/eV/atom
- Formation energy from raw total energies: -0.980 eV per atom

abc: 7.703 7.703 14.830
angles: 74.95 74.95 60.00
Site moments in Bohr magnetons follow the coordinates.
Fractional positions:
Br 0.131 0.629 0.610  0.14
Br 0.198 0.714 0.890  0.10
K 0.861 0.861 0.416  0.00
Br 0.802 0.802 0.110  0.10
K 0.690 0.690 0.930  0.00
K 0.139 0.139 0.584  0.00
Pd 0.500 0.500 0.500  1.08
Br 0.371 0.371 0.390  0.14
Pd 0.000 0.000 0.000  0.99
Br 0.802 0.286 0.110  0.10
Br 0.198 0.198 0.890  0.10
Br 0.286 0.802 0.110  0.10
Br 0.714 0.198 0.890  0.10
K 0.310 0.310 0.070  0.00
Br 0.629 0.131 0.610  0.14
Br 0.371 0.869 0.390  0.14
Pb 0.584 0.584 0.247  0.06
Pb 0.416 0.416 0.753  0.06
Br 0.869 0.371 0.390  0.14
Br 0.629 0.629 0.610  0.14

=====

2.
Density functional theory data (GGA-PBE) for a relaxed KPdPbBr6 crystal.

Summary:
- Fermi-level density of states: 0.73 states/eV/atom
- Formation energy from raw total energies: -0.753 eV per atom

abc: 7.472 7.472 13.607
angles: 90.00 90.00 120.00
Site moments in Bohr magnetons follow the coordinates.
Fractional positions:
Br 0.395 0.348 0.363  0.07
Br 0.047 0.395 0.637  0.07
Br 0.953 0.605 0.363  0.07
Br 0.348 0.953 0.637  0.07
K 0.000 0.000 0.000  0.00
Br 0.047 0.652 0.863  0.07
Br 0.348 0.395 0.863  0.07
Br 0.395 0.047 0.137  0.07
K 0.000 0.000 0.500  0.00
Br 0.652 0.047 0.363  0.07
Br 0.652 0.605 0.137  0.07
Pb 0.667 0.333 0.750  0.00
Pd 0.667 0.333 0.250  0.49
Br 0.953 0.348 0.137  0.07
Pd 0.333 0.667 0.750  0.49
Br 0.605 0.953 0.863  0.07
Pb 0.333 0.667 0.250  0.00
Br 0.605 0.652 0.637  0.07

=====

3.
Density functional theory data (GGA-PBE) for a relaxed KPmPbBr6 crystal.

Summary:
- Fermi-level density of states: 0.00 states/eV/atom
- Formation energy from raw total energies: -1.552 eV per atom

abc: 7.715 7.715 14.276
angles: 90.00 90.00 120.00
Fractional positions:
Br 0.984 0.356 0.133
Br 0.372 0.016 0.133
Br 0.372 0.356 0.367
Br 0.016 0.644 0.867
Pb 0.333 0.667 0.250
Pm 0.667 0.333 0.250
Pb 0.667 0.333 0.750
Br 0.644 0.016 0.367
K 0.000 0.000 0.000
Br 0.644 0.628 0.133
Br 0.628 0.984 0.867
K 0.000 0.000 0.500
Br 0.356 0.984 0.633
Br 0.984 0.628 0.367
Br 0.356 0.372 0.867
Pm 0.333 0.667 0.750
Br 0.628 0.644 0.633
Br 0.016 0.372 0.633

=====

4.
Density functional theory data (GGA-PBE) for a relaxed KPmPb2Br8 crystal.

Summary:
- Fermi-level density of states: 0.00 states/eV/atom
- Formation energy from raw total energies: -1.363 eV per atom

abc: 7.283 6.913 9.283
angles: 89.98 89.99 89.19
Fractional positions:
Br 0.637 0.730 0.500
Br 0.156 0.759 0.777
Br 0.325 0.244 0.000
Pb 0.500 0.500 0.253
Br 0.363 0.270 0.500
Br 0.675 0.756 0.000
Pm 0.000 0.000 0.000
Br 0.844 0.241 0.777
Pb 0.500 0.500 0.747
Br 0.844 0.241 0.223
K 0.000 0.000 0.500
Br 0.156 0.759 0.223

=====

5.
Density functional theory data (GGA-PBE) for a relaxed KPrPbBr6 crystal.

Summary:
- Fermi-level density of states: 0.00 states/eV/atom
- Formation energy from raw total energies: -1.549 eV per atom

abc: 7.759 7.759 14.326
angles: 90.00 90.00 120.00
Fractional positions:
Br 0.368 0.012 0.633
Br 0.632 0.644 0.133
Pr 0.667 0.333 0.750
Pb 0.667 0.333 0.250
Br 0.368 0.356 0.867
K 0.000 0.000 0.000
Br 0.012 0.644 0.367
Pr 0.333 0.667 0.250
Br 0.644 0.012 0.867
K 0.000 0.000 0.500
Pb 0.333 0.667 0.750
Br 0.356 0.988 0.133
Br 0.356 0.368 0.367
Br 0.988 0.356 0.633
Br 0.644 0.632 0.633
Br 0.012 0.368 0.133
Br 0.632 0.988 0.367
Br 0.988 0.632 0.867

=====

6.
Density functional theory data (GGA-PBE) for a relaxed KPtPbBr6 crystal.

Summary:
- Fermi-level density of states: 0.07 states/eV/atom
- Formation energy from raw total energies: -0.767 eV per atom

abc: 7.509 7.456 6.776
angles: 110.98 102.88 58.11
Site moments in Bohr magnetons follow the coordinates.
Fractional positions:
K 0.014 0.053 0.729  0.00
Pt 0.335 0.325 0.540  0.51
Pb 0.660 0.626 0.456  0.00
Br 0.025 0.620 0.764  0.02
Br 0.056 0.181 0.290  0.16
Br 0.641 0.017 0.325  0.02
Br 0.577 0.523 0.802  0.14
Br 0.439 0.087 0.774  0.01
Br 0.252 0.568 0.319  0.02

=====

7.
Density functional theory data (GGA-PBE) for a relaxed K2PuPbBr6 crystal.

Summary:
- Fermi-level density of states: 1.88 states/eV/atom
- Formation energy from raw total energies: -1.400 eV per atom

abc: 7.813 8.396 11.352
angles: 90.00 89.12 90.00
Site moments in Bohr magnetons follow the coordinates.
Fractional positions:
Br 0.807 0.811 0.563  -0.01
Br 0.693 0.311 0.937  -0.01
K 0.468 0.416 0.247  0.00
Br 0.819 0.799 0.933  -0.01
Br 0.628 0.046 0.254  -0.01
Br 0.681 0.299 0.567  -0.01
K 0.532 0.584 0.753  0.00
K 0.032 0.916 0.253  0.00
Br 0.319 0.701 0.433  -0.01
Br 0.872 0.546 0.246  -0.01
Br 0.307 0.689 0.063  -0.01
Br 0.128 0.454 0.754  -0.01
K 0.968 0.084 0.747  0.00
Br 0.372 0.954 0.746  -0.01
Br 0.181 0.201 0.067  -0.01
Br 0.193 0.189 0.437  -0.01
Pu 0.500 0.000 0.500  5.67
Pu 0.000 0.500 0.000  5.67
Pb 0.500 0.000 0.000  0.09
Pb 0.000 0.500 0.500  0.09

=====

8.
Density functional theory data (GGA-PBE) for a relaxed KRbPb2Br crystal.

Summary:
- Fermi-level density of states: 0.57 states/eV/atom
- Formation energy from raw total energies: 0.485 eV per atom

abc: 6.360 8.844 6.360
angles: 90.00 90.00 90.00
Site moments in Bohr magnetons follow the coordinates.
Fractional positions:
Pb 0.000 0.000 0.500  0.29
Pb 0.500 0.000 0.000  0.36
K 0.000 0.500 0.000  0.00
Br 0.500 0.500 0.500  0.05
Rb 0.000 0.000 0.000  0.05

=====

9.
Density functional theory data (GGA-PBE) for a relaxed K2RbPb2Br7 crystal.

Summary:
- Fermi-level density of states: 0.00 states/eV/atom
- Formation energy from raw total energies: -1.313 eV per atom

abc: 6.124 6.484 13.604
angles: 103.79 103.01 90.00
Fractional positions:
Br 0.500 0.425 0.000
Rb 0.000 0.138 0.000
Br 0.117 0.588 0.235
Pb 0.387 0.410 0.773
Br 0.732 0.737 0.464
Pb 0.613 0.637 0.227
Br 0.883 0.353 0.765
Br 0.607 0.071 0.213
Br 0.393 0.857 0.787
K 0.737 0.242 0.473
Br 0.268 0.274 0.536
K 0.263 0.768 0.527

=====

10.
Density functional theory data (GGA-PBE) for a relaxed K3Rb3PbBr8 crystal.

Summary:
- Fermi-level density of states: 0.00 states/eV/atom
- Formation energy from raw total energies: -1.597 eV per atom

abc: 9.576 9.577 9.720
angles: 119.51 90.00 120.00
Fractional positions:
Br 0.774 0.007 0.281
K 0.500 0.000 0.500
Br 0.226 0.993 0.719
Rb 0.000 0.000 0.000
K 0.000 0.500 0.500
Br 0.233 0.007 0.281
Br 0.767 0.993 0.719
Br 0.254 0.508 0.262
Br 0.746 0.492 0.738
Pb 0.000 0.000 0.500
Rb 0.000 0.500 0.000
Br 0.774 0.548 0.281
Br 0.226 0.452 0.719
K 0.500 0.500 0.500
Rb 0.500 0.500 0.000

=====

11.
Density functional theory data (GGA-PBE) for a relaxed KRb2PbBr6 crystal.

Summary:
- Fermi-level density of states: 0.66 states/eV/atom
- Formation energy from raw total energies: -1.297 eV per atom

abc: 8.127 8.622 11.627
angles: 90.00 89.29 90.00
Fractional positions:
Br 0.211 0.184 0.447
Rb 0.028 0.924 0.254
Rb 0.972 0.076 0.746
Br 0.711 0.316 0.947
Br 0.176 0.219 0.066
Br 0.289 0.684 0.053
Pb 0.000 0.500 0.000
Br 0.119 0.455 0.766
Rb 0.528 0.576 0.754
Br 0.676 0.281 0.566
Br 0.324 0.719 0.434
Br 0.881 0.545 0.234
K 0.000 0.500 0.500
K 0.500 0.000 0.000
Br 0.619 0.045 0.266
Br 0.381 0.955 0.734
Rb 0.472 0.424 0.246
Pb 0.500 0.000 0.500
Br 0.789 0.816 0.553
Br 0.824 0.781 0.934

=====

12.
Density functional theory data (GGA-PBE) for a relaxed KRb2PbBr6 crystal.

Summary:
- Fermi-level density of states: 2.32 states/eV/atom
- Formation energy from raw total energies: -1.243 eV per atom

abc: 8.473 8.473 8.472
angles: 60.00 60.00 90.00
Fractional positions:
Rb 0.250 0.750 0.500
Pb 0.000 0.000 0.000
Br 0.761 0.761 0.000
Br 0.239 0.239 0.522
Br 0.239 0.239 0.000
Br 0.239 0.761 0.000
Br 0.761 0.239 0.000
K 0.500 0.500 0.000
Br 0.761 0.761 0.478
Rb 0.750 0.250 0.500

=====

13.
Density functional theory data (GGA-PBE) for a relaxed KRbPb2Br6 crystal.

Summary:
- Fermi-level density of states: 0.00 states/eV/atom
- Formation energy from raw total energies: -1.262 eV per atom

abc: 8.191 8.191 8.384
angles: 60.77 60.77 60.01
Fractional positions:
Br 0.243 0.872 0.231
Pb 0.013 0.013 0.962
K 0.303 0.303 0.091
Rb 0.795 0.795 0.615
Pb 0.515 0.515 0.454
Br 0.654 0.243 0.231
Br 0.740 0.171 0.734
Br 0.872 0.654 0.231
Br 0.171 0.356 0.734
Br 0.356 0.740 0.734

=====

14.
Density functional theory data (GGA-PBE) for a relaxed K2RbPbBr5 crystal.

Summary:
- Fermi-level density of states: 0.00 states/eV/atom
- Formation energy from raw total energies: -1.425 eV per atom

abc: 5.798 8.133 9.528
angles: 115.26 107.71 90.00
Fractional positions:
Br 0.637 0.390 0.273
Rb 0.000 0.500 0.000
Br 0.637 0.884 0.273
K 0.205 0.205 0.410
Br 0.363 0.610 0.727
K 0.795 0.795 0.590
Br 0.363 0.116 0.727
Pb 0.500 0.000 0.000
Br 0.000 0.000 0.000

=====

15.
Density functional theory data (GGA-PBE) for a relaxed KRuPb2Br crystal.

Summary:
- Fermi-level density of states: 0.69 states/eV/atom
- Formation energy from raw total energies: 1.369 eV per atom

abc: 6.076 5.449 6.076
angles: 90.00 90.00 90.00
Site moments in Bohr magnetons follow the coordinates.
Fractional positions:
Ru 0.500 0.500 0.500  2.49
Br 0.000 0.500 0.000  0.01
Pb 0.500 0.000 0.000  -0.08
Pb 0.000 0.000 0.500  -0.09
K 0.000 0.000 0.000  0.00

=====

16.
Density functional theory data (GGA-PBE) for a relaxed KPbSBr crystal.

Summary:
- Fermi-level density of states: 0.00 states/eV/atom
- Formation energy from raw total energies: -1.042 eV per atom

abc: 4.278 4.278 8.447
angles: 90.02 104.66 120.00
Fractional positions:
S 0.285 0.540 0.841
Pb 0.498 0.146 0.660
K 0.127 0.962 0.104
Br 0.968 0.382 0.365

=====

17.
Density functional theory data (GGA-PBE) for a relaxed KPb2SBr crystal.

Summary:
- Fermi-level density of states: 0.77 states/eV/atom
- Formation energy from raw total energies: -0.248 eV per atom

abc: 5.433 8.477 5.433
angles: 90.00 90.00 90.00
Site moments in Bohr magnetons follow the coordinates.
Fractional positions:
S 0.000 0.000 0.000  -0.01
Pb 0.500 0.000 0.000  0.12
K 0.500 0.500 0.500  0.00
Pb 0.000 0.000 0.500  0.02
Br 0.000 0.500 0.000  0.01

=====

18.
Density functional theory data (GGA-PBE) for a relaxed KSbPbBr2 crystal.

Summary:
- Fermi-level density of states: 0.78 states/eV/atom
- Formation energy from raw total energies: 0.168 eV per atom

abc: 5.624 6.600 5.624
angles: 90.00 90.00 90.00
Site moments in Bohr magnetons follow the coordinates.
Fractional positions:
Pb 0.000 0.500 0.000  -0.02
Sb 0.500 0.500 0.500  0.08
K 0.000 0.000 0.000  0.00
Br 0.500 0.000 0.000  0.00
Br 0.000 0.000 0.500  0.00

=====

19.
Density functional theory data (GGA-PBE) for a relaxed KSbPbBr6 crystal.

Summary:
- Fermi-level density of states: 0.00 states/eV/atom
- Formation energy from raw total energies: -0.974 eV per atom

abc: 7.623 7.623 14.395
angles: 90.00 90.00 120.00
Fractional positions:
Br 0.377 0.354 0.367
Sb 0.667 0.333 0.250
K 0.000 0.000 0.000
K 0.000 0.000 0.500
Br 0.646 0.022 0.367
Br 0.623 0.978 0.867
Br 0.646 0.623 0.133
Sb 0.333 0.667 0.750
Br 0.022 0.377 0.633
Br 0.978 0.354 0.133
Br 0.978 0.623 0.367
Br 0.354 0.978 0.633
Pb 0.333 0.667 0.250
Pb 0.667 0.333 0.750
Br 0.354 0.377 0.867
Br 0.623 0.646 0.633
Br 0.022 0.646 0.867
Br 0.377 0.022 0.133

=====

20.
Density functional theory data (GGA-PBE) for a relaxed KScPb2Br8 crystal.

Summary:
- Fermi-level density of states: 0.00 states/eV/atom
- Formation energy from raw total energies: -1.289 eV per atom

abc: 7.122 6.740 9.105
angles: 89.94 89.99 88.78
Fractional positions:
Br 0.633 0.732 0.500
Br 0.312 0.227 0.000
Sc 0.000 0.000 0.000
Pb 0.500 0.500 0.755
Br 0.851 0.232 0.209
Pb 0.500 0.500 0.245
Br 0.149 0.768 0.791
Br 0.148 0.767 0.209
K 0.000 0.000 0.500
Br 0.367 0.268 0.500
Br 0.688 0.773 0.000
Br 0.852 0.233 0.791